[1]
{"formula": "Na5Pb3F12", "functional": "GGA-PBE", "state": "optimized geometry", "raw_formation_energy_ev_per_atom": -2.4513, "magmom_total_mub_per_atom": 0.000, "total_energy_ev_per_atom": -4.46, "lattice_angstrom": [[-6.861, 6.861, 6.861], [6.861, -6.861, 6.861], [6.861, 6.861, -6.861]], "species": ["Na", "Na", "Na", "Na", "Na", "Na", "Na", "Na", "Na", "Na", "Na", "Na", "Na", "Na", "Na", "Na", "Na", "Na", "Na", "Na", "Pb", "Pb", "Pb", "Pb", "Pb", "Pb", "Pb", "Pb", "Pb", "Pb", "Pb", "Pb", "F", "F", "F", "F", "F", "F", "F", "F", "F", "F", "F", "F", "F", "F", "F", "F", "F", "F", "F", "F", "F", "F", "F", "F", "F", "F", "F", "F", "F", "F", "F", "F", "F", "F", "F", "F", "F", "F", "F", "F", "F", "F", "F", "F", "F", "F", "F", "F"], "fractional_positions": [[0.000, 0.000, 0.000], [0.000, 0.000, 0.500], [0.000, 0.500, 0.000], [0.000, 0.500, 0.500], [0.125, 0.750, 0.875], [0.125, 0.875, 0.250], [0.250, 0.125, 0.875], [0.250, 0.625, 0.375], [0.375, 0.250, 0.625], [0.375, 0.625, 0.750], [0.500, 0.000, 0.000], [0.500, 0.000, 0.500], [0.500, 0.500, 0.000], [0.500, 0.500, 0.500], [0.625, 0.375, 0.250], [0.625, 0.750, 0.375], [0.750, 0.375, 0.625], [0.750, 0.875, 0.125], [0.875, 0.125, 0.750], [0.875, 0.250, 0.125], [0.125, 0.250, 0.375], [0.125, 0.375, 0.750], [0.250, 0.375, 0.125], [0.250, 0.875, 0.625], [0.375, 0.125, 0.250], [0.375, 0.750, 0.125], [0.625, 0.250, 0.875], [0.625, 0.875, 0.750], [0.750, 0.125, 0.375], [0.750, 0.625, 0.875], [0.875, 0.625, 0.250], [0.875, 0.750, 0.625], [0.048, 0.222, 0.134], [0.048, 0.326, 0.914], [0.086, 0.634, 0.412], [0.086, 0.952, 0.674], [0.088, 0.722, 0.674], [0.088, 0.866, 0.414], [0.134, 0.048, 0.222], [0.134, 0.586, 0.912], [0.174, 0.222, 0.588], [0.174, 0.452, 0.586], [0.222, 0.134, 0.048], [0.222, 0.588, 0.174], [0.278, 0.326, 0.912], [0.278, 0.452, 0.366], [0.326, 0.912, 0.278], [0.326, 0.914, 0.048], [0.366, 0.278, 0.452], [0.366, 0.588, 0.914], [0.412, 0.086, 0.634], [0.412, 0.826, 0.778], [0.414, 0.088, 0.866], [0.414, 0.826, 0.548], [0.452, 0.366, 0.278], [0.452, 0.586, 0.174], [0.548, 0.414, 0.826], [0.548, 0.634, 0.722], [0.586, 0.174, 0.452], [0.586, 0.912, 0.134], [0.588, 0.174, 0.222], [0.588, 0.914, 0.366], [0.634, 0.412, 0.086], [0.634, 0.722, 0.548], [0.674, 0.086, 0.952], [0.674, 0.088, 0.722], [0.722, 0.548, 0.634], [0.722, 0.674, 0.088], [0.778, 0.412, 0.826], [0.778, 0.866, 0.952], [0.826, 0.548, 0.414], [0.826, 0.778, 0.412], [0.866, 0.414, 0.088], [0.866, 0.952, 0.778], [0.912, 0.134, 0.586], [0.912, 0.278, 0.326], [0.914, 0.048, 0.326], [0.914, 0.366, 0.588], [0.952, 0.674, 0.086], [0.952, 0.778, 0.866]]}

[2]
{"formula": "NaPbF2", "functional": "GGA-PBE", "state": "optimized geometry", "raw_formation_energy_ev_per_atom": -2.1497, "polymorph_energy_ev_per_atom": 0.000, "magmom_total_mub_per_atom": 0.000, "total_energy_ev_per_atom": -4.34, "lattice_angstrom": [[3.436, 0.000, 0.000], [-1.718, 2.975, 0.000], [0.000, 0.000, 21.567]], "species": ["Na", "Na", "Na", "Pb", "Pb", "Pb", "F", "F", "F", "F", "F", "F"], "fractional_positions": [[0.000, 0.000, 0.000], [0.333, 0.667, 0.667], [0.667, 0.333, 0.333], [0.000, 0.000, 0.500], [0.333, 0.667, 0.167], [0.667, 0.333, 0.833], [0.000, 0.000, 0.391], [0.000, 0.000, 0.609], [0.333, 0.667, 0.058], [0.333, 0.667, 0.275], [0.667, 0.333, 0.725], [0.667, 0.333, 0.942]]}

[3]
{"formula": "Na12Pb3F5", "functional": "GGA-PBE", "state": "optimized geometry", "raw_formation_energy_ev_per_atom": -1.2465, "magmom_total_mub_per_atom": 0.027, "total_energy_ev_per_atom": -3.06, "lattice_angstrom": [[-7.887, 7.887, 7.887], [7.887, -7.887, 7.887], [7.887, 7.887, -7.887]], "species": ["Na", "Na", "Na", "Na", "Na", "Na", "Na", "Na", "Na", "Na", "Na", "Na", "Na", "Na", "Na", "Na", "Na", "Na", "Na", "Na", "Na", "Na", "Na", "Na", "Na", "Na", "Na", "Na", "Na", "Na", "Na", "Na", "Na", "Na", "Na", "Na", "Na", "Na", "Na", "Na", "Na", "Na", "Na", "Na", "Na", "Na", "Na", "Na", "Pb", "Pb", "Pb", "Pb", "Pb", "Pb", "Pb", "Pb", "Pb", "Pb", "Pb", "Pb", "F", "F", "F", "F", "F", "F", "F", "F", "F", "F", "F", "F", "F", "F", "F", "F", "F", "F", "F", "F"], "fractional_positions": [[0.007, 0.192, 0.106], [0.007, 0.314, 0.900], [0.086, 0.692, 0.686], [0.086, 0.894, 0.400], [0.100, 0.606, 0.414], [0.100, 0.993, 0.686], [0.106, 0.007, 0.192], [0.106, 0.600, 0.914], [0.186, 0.192, 0.586], [0.186, 0.493, 0.600], [0.192, 0.106, 0.007], [0.192, 0.586, 0.186], [0.308, 0.314, 0.914], [0.308, 0.493, 0.394], [0.314, 0.900, 0.007], [0.314, 0.914, 0.308], [0.394, 0.308, 0.493], [0.394, 0.586, 0.900], [0.400, 0.086, 0.894], [0.400, 0.814, 0.507], [0.414, 0.100, 0.606], [0.414, 0.814, 0.808], [0.493, 0.394, 0.308], [0.493, 0.600, 0.186], [0.507, 0.400, 0.814], [0.507, 0.606, 0.692], [0.586, 0.186, 0.192], [0.586, 0.900, 0.394], [0.600, 0.186, 0.493], [0.600, 0.914, 0.106], [0.606, 0.414, 0.100], [0.606, 0.692, 0.507], [0.686, 0.086, 0.692], [0.686, 0.100, 0.993], [0.692, 0.507, 0.606], [0.692, 0.686, 0.086], [0.808, 0.414, 0.814], [0.808, 0.894, 0.993], [0.814, 0.507, 0.400], [0.814, 0.808, 0.414], [0.894, 0.400, 0.086], [0.894, 0.993, 0.808], [0.900, 0.007, 0.314], [0.900, 0.394, 0.586], [0.914, 0.106, 0.600], [0.914, 0.308, 0.314], [0.993, 0.686, 0.100], [0.993, 0.808, 0.894], [0.125, 0.250, 0.375], [0.125, 0.375, 0.750], [0.250, 0.375, 0.125], [0.250, 0.875, 0.625], [0.375, 0.125, 0.250], [0.375, 0.750, 0.125], [0.625, 0.250, 0.875], [0.625, 0.875, 0.750], [0.750, 0.125, 0.375], [0.750, 0.625, 0.875], [0.875, 0.625, 0.250], [0.875, 0.750, 0.625], [0.000, 0.000, 0.000], [0.000, 0.000, 0.500], [0.000, 0.500, 0.000], [0.000, 0.500, 0.500], [0.125, 0.750, 0.875], [0.125, 0.875, 0.250], [0.250, 0.125, 0.875], [0.250, 0.625, 0.375], [0.375, 0.250, 0.625], [0.375, 0.625, 0.750], [0.500, 0.000, 0.000], [0.500, 0.000, 0.500], [0.500, 0.500, 0.000], [0.500, 0.500, 0.500], [0.625, 0.375, 0.250], [0.625, 0.750, 0.375], [0.750, 0.375, 0.625], [0.750, 0.875, 0.125], [0.875, 0.125, 0.750], [0.875, 0.250, 0.125]]}

[4]
{"formula": "NaPbF2", "functional": "GGA-PBE", "state": "optimized geometry", "raw_formation_energy_ev_per_atom": -1.6455, "polymorph_energy_ev_per_atom": 0.504, "magmom_total_mub_per_atom": 0.000, "total_energy_ev_per_atom": -3.84, "lattice_angstrom": [[6.511, 0.000, 0.000], [0.000, 6.511, 0.000], [0.000, 0.000, 6.511]], "species": ["Na", "Na", "Na", "Na", "Pb", "Pb", "Pb", "Pb", "F", "F", "F", "F", "F", "F", "F", "F"], "fractional_positions": [[0.000, 0.000, 0.000], [0.000, 0.500, 0.500], [0.500, 0.000, 0.500], [0.500, 0.500, 0.000], [0.000, 0.000, 0.500], [0.000, 0.500, 0.000], [0.500, 0.000, 0.000], [0.500, 0.500, 0.500], [0.250, 0.250, 0.250], [0.250, 0.250, 0.750], [0.250, 0.750, 0.250], [0.250, 0.750, 0.750], [0.750, 0.250, 0.250], [0.750, 0.250, 0.750], [0.750, 0.750, 0.250], [0.750, 0.750, 0.750]]}